The following is a DFT calculation (PBE-GGA) of a geometry-optimized Y2ErCu4Sn4 structure.

The structure in POSCAR format:
```
Y2ErCu4Sn4
1.0
-2.2304 3.4595 7.3351
2.2304 -3.4595 7.3351
2.2304 3.4595 -7.3351
Sn Y Cu Er
4 2 4 1
Cartesian
0.0000 0.0000 11.5087 Sn
0.0000 1.4174 7.3351 Sn
2.2304 2.0421 0.0000 Sn
0.0000 0.0000 3.1615 Sn
2.2304 0.0000 5.4200 Y
0.0000 3.4595 1.9151 Y
0.0000 2.1566 9.8484 Cu
2.2304 1.3029 2.5133 Cu
2.2304 1.3029 -2.5133 Cu
0.0000 2.1566 4.8218 Cu
0.0000 0.0000 0.0000 Er
```

Symmetry: No. 71
Crystal system: orthorhombic



The following is a DFT calculation (PBE-GGA) of a geometry-optimized SrErCu structure.

The structure in POSCAR format:
```
SrErCu
1.0
0.0000 3.5651 3.5651
3.5651 0.0000 3.5651
3.5651 3.5651 0.0000
Cu Er Sr
1 1 1
Cartesian
0.0000 0.0000 0.0000 Cu
1.7825 1.7825 1.7825 Er
5.3477 5.3477 5.3477 Sr
```

Symmetry: No. 216
Energy relative to the lowest polymorph listed for this composition (eV per atom): 0.000
Crystal system: cubic



The following is a DFT calculation (PBE-GGA) of a geometry-optimized ErTaCu structure.

The structure in POSCAR format:
```
ErTaCu
1.0
-3.6220 -2.7054 0.9858
-3.6576 1.7517 2.2278
-4.0065 0.5916 -2.2379
Er Cu Ta
1 1 1
Cartesian
0.0000 0.0000 0.0000 Er
-2.8215 -0.0905 0.2439 Cu
-8.4646 -0.2716 0.7318 Ta
```

Symmetry: No. 216
Crystal system: cubic



The following is a DFT calculation (PBE-GGA) of a geometry-optimized ErCu3Te3 structure.

The structure in POSCAR format:
```
ErCu3Te3
1.0
12.7676 0.0000 0.0000
0.0000 7.6240 0.0000
0.0000 0.0000 6.9055
Er Cu Te
4 12 12
Cartesian
10.7115 1.9176 5.2155 Er
8.4399 5.7063 1.7628 Er
2.0561 1.9176 5.2155 Er
4.3277 5.7063 1.7628 Er
2.2291 4.7169 6.0720 Cu
6.3838 6.6607 4.3258 Cu
8.6129 2.9070 2.6193 Cu
10.5459 6.7352 4.3802 Cu
0.0000 0.9633 0.8731 Cu
0.0000 2.8902 2.6480 Cu
4.1547 2.9070 2.6193 Cu
6.3838 4.7338 6.1008 Cu
4.1621 0.8888 0.9274 Cu
8.6055 0.8888 0.9274 Cu
2.2217 6.7352 4.3802 Cu
10.5385 4.7169 6.0720 Cu
0.0000 3.4550 0.0226 Te
4.3071 3.2939 6.8382 Te
8.4605 3.2939 6.8382 Te
2.0767 4.3300 3.3854 Te
10.6969 7.1184 0.1510 Te
6.3838 4.1690 3.4754 Te
6.3838 7.2274 0.0472 Te
2.0707 7.1184 0.1510 Te
4.3131 0.5056 3.6038 Te
0.0000 0.3966 3.4999 Te
8.4545 0.5056 3.6038 Te
10.6909 4.3300 3.3854 Te
```

Symmetry: No. 31
Crystal system: orthorhombic



| no. | energy (hartree per atom) | size of the total moment (Bohr magnetons per cell) | volume (Å³/cell) |
| --- | --- | --- | --- |
| 1 | -0.181 | 0.00 | 226.4 |
| 2 | -0.114 | 0.02 | 90.6 |
| 3 | -0.193 | 1.84 | 70.0 |
| 4 | -0.152 | 0.00 | 672.2 |